1.
Crystalline La2CeTh at its relaxed geometry. Source: Alexandria, functional PBE. Values from VASP.

As for the energy above the lowest structure with this stoichiometry: 51 meV per atom. As for the calculated total energy: -22.910 eV per cell. Its crystal system is tetragonal.

Cell and atoms, written as Quantum ESPRESSO input:
```
&SYSTEM
  ibrav = 0, nat = 4, ntyp = 3
/
ATOMIC_SPECIES
Ce 140.12 Ce.upf
Th 232.04 Th.upf
La 138.91 La.upf
CELL_PARAMETERS angstrom
-2.197 -3.835 2.540
4.530 -1.608 1.490
-0.320 2.899 4.101
ATOMIC_POSITIONS crystal
Ce 0.500 0.500 0.500
Th 0.500 0.000 0.000
La 0.000 0.000 0.500
La 0.000 0.500 0.000
```

=====

2.
Crystalline La2CeTh4 at its relaxed geometry. Source: Alexandria, functional PBE. Values from VASP.

As for the calculated total energy: -45.106 eV per cell. Its crystal system is orthorhombic.

Cell and atoms, written as Quantum ESPRESSO input:
```
&SYSTEM
  ibrav = 0, nat = 7, ntyp = 3
/
ATOMIC_SPECIES
Th 232.04 Th.upf
Ce 140.12 Ce.upf
La 138.91 La.upf
CELL_PARAMETERS angstrom
-2.675 1.641 1.668
-2.217 -2.601 -0.996
5.235 -9.995 14.441
ATOMIC_POSITIONS crystal
Th 0.933 0.500 0.867
Th 0.634 0.000 0.268
Th 0.067 0.500 0.133
Th 0.366 0.000 0.732
Ce 0.500 0.000 0.000
La 0.796 0.500 0.592
La 0.204 0.500 0.408
```